# 1
First-principles (GGA-PBE) data for an optimized crystal structure of Sm3Be2Fe7, as listed in the Alexandria database.

Lattice parameters (Å, degrees): 5.1231 5.1231 23.5827 90.00 90.00 120.00
Closest atoms and distances in Å follow each position.
Space group R-3m (No. 166, hexagonal axes)
Inequivalent atoms, fractional coordinates:
1 Sm 0.0000 0.0000 0.0000  6 Be 2.96, 12 Fe 3.13
2 Sm 0.0000 0.0000 0.1409  12 Fe 2.98-3.13, 4 Sm 3.20-3.32
3 Be 0.0000 0.0000 0.3326  6 Fe 2.32-2.33
4 Fe 0.0000 0.0000 0.5000  6 Fe 2.59
5 Fe 0.0036 0.5018 0.0760  2 Be 2.32-2.33, 5 Fe 2.53-2.59

Summary:
density of states at the Fermi level = 30.73 states/eV per cell
crystal system = trigonal
ρ = 7993 kg/m³
electronic total energy = -6.78 eV per atom

# 2
First-principles (GGA-PBE) data for an optimized crystal structure of BeFeSn3, as listed in the Alexandria database.

Lattice parameters (Å, degrees): 4.8758 4.8758 4.8758 90.00 90.00 90.00
Closest atoms and distances in Å follow each position.
Space group Pm-3m (No. 221)
Inequivalent atoms, fractional coordinates:
1 Be 0.0000 0.0000 0.0000  6 Sn 2.44
2 Fe 0.5000 0.5000 0.5000  12 Sn 3.45
3 Sn 0.0000 0.0000 0.5000  2 Be 2.44

Summary:
density of states at the Fermi level = 7.62 states/eV per cell
excess energy over the best structure of this formula in the dataset = 195 meV per atom
crystal system = cubic
ρ = 6031 kg/m³
electronic total energy = -4.05 eV per atom

# 3
First-principles (GGA-PBE) data for an optimized crystal structure of BeFeSn3, as listed in the Alexandria database.

Lattice parameters (Å, degrees): 4.8811 4.8811 4.8811 90.00 90.00 90.00
Closest atoms and distances in Å follow each position.
Space group Pm-3m (No. 221)
Inequivalent atoms, fractional coordinates:
1 Be 0.0000 0.0000 0.0000  12 Sn 3.45
2 Fe 0.5000 0.5000 0.5000  6 Sn 2.44
3 Sn 0.0000 0.5000 0.5000  2 Fe 2.44

Summary:
density of states at the Fermi level = 4.27 states/eV per cell
excess energy over the best structure of this formula in the dataset = 0 meV per atom
crystal system = cubic
ρ = 6011 kg/m³
electronic total energy = -4.24 eV per atom

# 4
First-principles (GGA-PBE) data for an optimized crystal structure of Be4FeSn, as listed in the Alexandria database.

Lattice parameters (Å, degrees): 6.2218 6.2218 6.2218 90.00 90.00 90.00
Closest atoms and distances in Å follow each position.
Space group F-43m (No. 216)
Inequivalent atoms, fractional coordinates:
1 Be 0.1228 0.1228 0.3772  6 Be 2.16-2.24
2 Fe 0.2500 0.2500 0.7500  12 Be 2.58, 4 Sn 2.69
3 Sn 0.0000 0.0000 0.0000  12 Be 2.58, 4 Fe 2.69

Summary:
density of states at the Fermi level = 0.01 states/eV per cell
crystal system = cubic
ρ = 5808 kg/m³
electronic total energy = -4.54 eV per atom

# 5
First-principles (GGA-PBE) data for an optimized crystal structure of BeFe2Sn2, as listed in the Alexandria database.

Lattice parameters (Å, degrees): 6.1366 6.1366 3.9578 90.00 90.00 90.00
Closest atoms and distances in Å follow each position.
Space group P4/mbm (No. 127)
Inequivalent atoms, fractional coordinates:
1 Be 0.0000 0.0000 0.0000  4 Fe 2.35
2 Fe 0.1459 0.3541 0.0000  2 Be 2.35, 1 Fe 2.53, 2 Sn 2.55
3 Sn 0.1679 0.6679 0.5000  6 Fe 2.55-2.76

Summary:
density of states at the Fermi level = 7.10 states/eV per cell
crystal system = tetragonal
ρ = 7980 kg/m³
electronic total energy = -5.51 eV per atom

# 6
First-principles (GGA-PBE) data for an optimized crystal structure of BeFe3Sn, as listed in the Alexandria database.

Lattice parameters (Å, degrees): 4.7361 4.7361 4.7361 90.00 90.00 90.00
Closest atoms and distances in Å follow each position.
Space group Pm-3m (No. 221)
Inequivalent atoms, fractional coordinates:
1 Be 0.0000 0.0000 0.0000  12 Fe 3.35
2 Fe 0.0000 0.5000 0.5000  2 Sn 2.37
3 Sn 0.5000 0.5000 0.5000  6 Fe 2.37

Summary:
density of states at the Fermi level = 8.06 states/eV per cell
excess energy over the best structure of this formula in the dataset = 1419 meV per atom
crystal system = cubic
ρ = 4615 kg/m³
electronic total energy = -4.86 eV per atom

# 7
First-principles (GGA-PBE) data for an optimized crystal structure of BeFeSn, as listed in the Alexandria database.

Lattice parameters (Å, degrees): 5.9975 4.2707 6.7941 90.00 90.00 90.00
Closest atoms and distances in Å follow each position.
Space group Amm2 (No. 38)
Inequivalent atoms, fractional coordinates:
1 Be 0.1747 0.0000 0.0000  1 Be 2.10
2 Fe 0.0000 0.0000 0.3236  6 Be 2.44-2.66, 2 Sn 2.69
3 Fe 0.5000 0.0000 0.2597  2 Be 2.63, 4 Sn 2.69
4 Sn 0.2589 0.0000 0.6470  3 Be 2.41-2.45, 3 Fe 2.69

Summary:
density of states at the Fermi level = 6.64 states/eV per cell
crystal system = orthorhombic
ρ = 7007 kg/m³
electronic total energy = -4.97 eV per atom

# 8
First-principles (GGA-PBE) data for an optimized crystal structure of Be2FeSn, as listed in the Alexandria database.

Lattice parameters (Å, degrees): 3.8358 3.8358 16.0403 90.00 90.00 90.00
Closest atoms and distances in Å follow each position.
Space group I-42d (No. 122)
Inequivalent atoms, fractional coordinates:
1 Be 0.1037 0.2500 0.1250  2 Be 2.08, 2 Fe 2.26
2 Fe 0.0000 0.0000 0.0000  4 Be 2.26
3 Sn 0.0000 0.0000 0.5000  4 Be 2.69, 4 Fe 2.71

Summary:
density of states at the Fermi level = 4.72 states/eV per cell
crystal system = tetragonal
ρ = 5420 kg/m³
electronic total energy = -4.47 eV per atom

# 9
First-principles (GGA-PBE) data for an optimized crystal structure of Be4FeSn2, as listed in the Alexandria database.

Lattice parameters (Å, degrees): 4.0907 4.0907 12.6460 90.00 90.00 90.00
Closest atoms and distances in Å follow each position.
Space group I4/mmm (No. 139)
Inequivalent atoms, fractional coordinates:
1 Be 0.0000 0.0000 0.1644  1 Fe 2.08
2 Be 0.0000 0.5000 0.0000  2 Fe 2.05
3 Fe 0.0000 0.0000 0.0000  6 Be 2.05-2.08
4 Sn 0.0000 0.0000 0.3606  5 Be 2.48-2.70

Summary:
density of states at the Fermi level = 5.78 states/eV per cell
crystal system = tetragonal
ρ = 5168 kg/m³
electronic total energy = -3.90 eV per atom

# 10
First-principles (GGA-PBE) data for an optimized crystal structure of BeFe3Sn, as listed in the Alexandria database.

Lattice parameters (Å, degrees): 4.0657 4.0657 4.0657 90.00 90.00 90.00
Closest atoms and distances in Å follow each position.
Space group Pm-3m (No. 221)
Inequivalent atoms, fractional coordinates:
1 Be 0.0000 0.0000 0.0000  6 Fe 2.03
2 Fe 0.0000 0.0000 0.5000  2 Be 2.03
3 Sn 0.5000 0.5000 0.5000  12 Fe 2.87

Summary:
density of states at the Fermi level = 5.59 states/eV per cell
excess energy over the best structure of this formula in the dataset = 0 meV per atom
crystal system = cubic
ρ = 7295 kg/m³
electronic total energy = -6.28 eV per atom

# 11
First-principles (GGA-PBE) data for an optimized crystal structure of TiBeFeSn, as listed in the Alexandria database.

Lattice parameters (Å, degrees): 6.0208 6.0208 6.0208 90.00 90.00 90.00
Closest atoms and distances in Å follow each position.
Space group F-43m (No. 216)
Inequivalent atoms, fractional coordinates:
1 Ti 0.0000 0.0000 0.0000  4 Be 2.61, 4 Fe 2.61
2 Be 0.2500 0.2500 0.7500  4 Sn 2.61, 4 Ti 2.61
3 Fe 0.2500 0.2500 0.2500  4 Sn 2.61, 4 Ti 2.61
4 Sn 0.0000 0.0000 0.5000  4 Fe 2.61, 4 Be 2.61

Summary:
crystal system = cubic
ρ = 7043 kg/m³
electronic total energy = -6.13 eV per atom

# 12
First-principles (GGA-PBE) data for an optimized crystal structure of BeVFe2Sn, as listed in the Alexandria database.

Lattice parameters (Å, degrees): 4.7016 4.7016 4.9524 90.00 90.00 90.00
Closest atoms and distances in Å follow each position.
Space group P4/mmm (No. 123)
Inequivalent atoms, fractional coordinates:
1 Be 0.0000 0.0000 0.0000  4 V 3.32, 8 Fe 3.41
2 V 0.5000 0.5000 0.0000  2 Sn 2.48
3 Fe 0.0000 0.5000 0.5000  2 Sn 2.35
4 Sn 0.5000 0.5000 0.5000  4 Fe 2.35, 2 V 2.48

Summary:
density of states at the Fermi level = 4.76 states/eV per cell
crystal system = tetragonal
ρ = 4404 kg/m³
electronic total energy = -4.97 eV per atom

> Look up the ρ of the first one.

7993 kg/m³

> ρ of number 8 (Be2FeSn)?

5420 kg/m³